Entry 1:
This record from Alexandria describes Cs3SrAs2O6 after structural relaxation. The functional is PBE-GGA.

abc: 6.411 6.411 7.911
angles: 90.00 90.00 120.00
Last column: magnetic moment on the atom in μB.
Atoms (fractional coordinates):
Cs  0.333  0.667  0.678  0.00
Cs  0.000  0.000  0.000  0.00
Cs  0.667  0.333  0.322  0.00
O  0.814  0.186  0.687  0.10
O  0.814  0.628  0.687  0.10
O  0.186  0.372  0.313  0.10
O  0.372  0.186  0.687  0.10
O  0.186  0.814  0.313  0.10
O  0.628  0.814  0.313  0.10
As  0.667  0.333  0.773  0.08
As  0.333  0.667  0.227  0.08
Sr  0.000  0.000  0.500  0.01

Properties
calculated volume: 23.5 A^3/atom
E_form (uncorrected): -1.7523 eV per atom


Entry 2:
This record from Alexandria describes CsSrAsO4 after structural relaxation. The functional is PBE-GGA.

abc: 6.158 6.166 8.062
angles: 90.00 106.53 90.00
Last column: magnetic moment on the atom in μB.
Atoms (fractional coordinates):
As  0.241  0.750  0.337  0.00
As  0.759  0.250  0.663  0.00
Sr  0.218  0.250  0.545  0.00
Sr  0.782  0.750  0.455  0.00
O  0.940  0.029  0.688  0.01
O  0.060  0.971  0.312  0.01
O  0.940  0.471  0.688  0.01
O  0.060  0.529  0.312  0.01
O  0.410  0.750  0.200  0.00
O  0.590  0.250  0.800  0.00
O  0.583  0.250  0.453  0.05
O  0.417  0.750  0.547  0.05
Cs  0.700  0.750  0.929  0.00
Cs  0.300  0.250  0.071  0.00

Properties
calculated volume: 21.0 A^3/atom
E_form (uncorrected): -2.0541 eV per atom


Entry 3:
This record from Alexandria describes Cs2SrAsO4 after structural relaxation. The functional is PBE-GGA.

abc: 6.185 7.286 13.577
angles: 84.45 76.83 64.89
Atoms (fractional coordinates):
O  0.189  0.342  0.431
O  0.962  0.658  0.569
O  0.281  0.158  0.931
O  0.380  0.658  0.431
O  0.370  0.842  0.069
O  0.788  0.842  0.931
O  0.469  0.342  0.569
O  0.561  0.158  0.069
Sr  0.750  0.500  0.500
Sr  0.000  0.000  0.000
Cs  0.936  0.500  0.129
Cs  0.814  0.000  0.371
Cs  0.186  0.000  0.629
Cs  0.564  0.500  0.871
As  0.500  0.000  0.000
As  0.250  0.500  0.500

Properties
calculated volume: 33.7 A^3/atom
E_form (uncorrected): -1.5526 eV per atom


Entry 4:
This record from Alexandria describes Cs3SrAs2O8 after structural relaxation. The functional is PBE-GGA.

abc: 6.367 6.367 8.500
angles: 90.00 90.00 120.00
Last column: magnetic moment on the atom in μB.
Atoms (fractional coordinates):
Sr  0.000  0.000  0.500  0.00
O  0.815  0.630  0.672  0.08
O  0.185  0.370  0.328  0.08
O  0.815  0.185  0.672  0.08
O  0.185  0.815  0.328  0.08
O  0.667  0.333  0.940  0.23
O  0.630  0.815  0.328  0.08
O  0.370  0.185  0.672  0.08
O  0.333  0.667  0.060  0.23
Cs  0.333  0.667  0.713  0.00
Cs  0.000  0.000  0.000  0.00
Cs  0.667  0.333  0.287  0.00
As  0.667  0.333  0.738  -0.02
As  0.333  0.667  0.262  -0.02

Properties
calculated volume: 21.3 A^3/atom
E_form (uncorrected): -1.7483 eV per atom


Entry 5:
This record from Alexandria describes CsTaAsO6 after structural relaxation. The functional is PBE-GGA.

abc: 5.277 5.277 6.646
angles: 90.00 90.00 60.00
Last column: magnetic moment on the atom in μB.
Atoms (fractional coordinates):
O  0.409  0.610  0.340  0.16
O  0.409  0.981  0.660  0.16
O  0.981  0.610  0.660  0.15
O  0.981  0.409  0.340  0.15
O  0.610  0.409  0.660  0.16
O  0.610  0.981  0.340  0.16
As  0.667  0.667  0.500  -0.01
Cs  0.000  0.000  0.000  0.02
Ta  0.333  0.333  0.500  -0.04

Properties
calculated volume: 17.8 A^3/atom
E_form (uncorrected): -1.7803 eV per atom


Entry 6:
This record from Alexandria describes CsTa2AsO8 after structural relaxation. The functional is PBE-GGA.

abc: 5.661 5.661 9.865
angles: 73.33 73.33 60.00
Atoms (fractional coordinates):
O  0.160  0.612  0.616
O  0.710  0.710  0.869
O  0.388  0.388  0.384
O  0.388  0.840  0.384
O  0.840  0.388  0.384
O  0.612  0.160  0.616
O  0.612  0.612  0.616
O  0.290  0.290  0.131
Cs  0.000  0.000  0.000
Ta  0.226  0.226  0.323
Ta  0.774  0.774  0.677
As  0.500  0.500  0.500

Properties
calculated volume: 21.5 A^3/atom
E_form (uncorrected): -2.1162 eV per atom


Entry 7:
This record from Alexandria describes Cs2TbAs2O6 after structural relaxation. The functional is PBE-GGA.

abc: 6.133 6.124 7.601
angles: 112.22 90.00 120.05
Last column: magnetic moment on the atom in μB.
Atoms (fractional coordinates):
Cs  0.724  0.447  0.188  0.00
Cs  0.276  0.553  0.812  0.00
As  0.075  0.151  0.226  0.12
As  0.925  0.849  0.774  0.12
O  0.239  0.015  0.294  0.05
O  0.260  0.520  0.363  0.09
O  0.740  0.480  0.637  0.09
O  0.224  0.985  0.706  0.05
O  0.776  0.015  0.294  0.05
O  0.761  0.985  0.706  0.05
Tb  0.500  0.000  0.500  0.06

Properties
calculated volume: 20.2 A^3/atom
E_form (uncorrected): -1.9110 eV per atom


Entry 8:
This record from Alexandria describes Cs3TbAs2O8 after structural relaxation. The functional is PBE-GGA.

abc: 6.065 6.065 8.762
angles: 90.00 90.00 120.00
Atoms (fractional coordinates):
Cs  0.667  0.333  0.242
Cs  0.333  0.667  0.758
Cs  0.000  0.000  0.000
As  0.667  0.333  0.715
As  0.333  0.667  0.285
Tb  0.000  0.000  0.500
O  0.178  0.355  0.350
O  0.178  0.822  0.350
O  0.667  0.333  0.909
O  0.822  0.645  0.650
O  0.645  0.822  0.350
O  0.822  0.178  0.650
O  0.333  0.667  0.091
O  0.355  0.178  0.650

Properties
calculated volume: 19.9 A^3/atom
E_form (uncorrected): -1.9985 eV per atom